VASP calculation (PBEsol) on a relaxed K5Hg crystal.

Calculated values
Excess energy over the best structure of this formula in the dataset = 33 meV/atom
Space group = Cmmm, No. 65
Total DFT energy (no corrections) = -6.4 eV per cell
Energy relative to the elements = -0.02 eV/atom

Cell lengths 9.434, 9.434, 6.220 Å; angles 90.00, 90.00, 144.76 degrees
Sites, in units of the cell vectors:
K: 0.000 0.000 0.000
K: 0.143 0.857 0.500
K: 0.344 0.656 0.000
K: 0.656 0.344 0.000
K: 0.857 0.143 0.500
Hg: 0.500 0.500 0.500